The following is a GGA-PBEsol calculation of a geometry-optimized CsScSe2O6 structure, from the Alexandria database.

extended XYZ file:
```
40
Lattice="17.6910 0.0000 0.0000 0.0000 5.6251 0.0000 0.0000 0.0000 6.9220" Properties=species:S:1:pos:R:3 pbc="T T T"
Cs 1.8383 1.4063 0.9001
Cs 7.0072 4.2188 4.3611
Cs 10.6838 1.4063 2.5609
Cs 15.8527 4.2188 6.0219
Sc 2.2846 4.2188 4.4789
Sc 6.5609 1.4063 1.0179
Sc 11.1301 4.2188 5.9041
Sc 15.4064 1.4063 2.4431
Se 0.5530 1.4063 4.2035
Se 4.4106 1.4063 4.0664
Se 4.4349 4.2188 0.6054
Se 8.2925 4.2188 0.7425
Se 9.3985 1.4063 6.1794
Se 13.2561 1.4063 6.3166
Se 13.2804 4.2188 2.8556
Se 17.1380 4.2188 2.7184
O 0.9264 0.0659 5.2198
O 0.9264 2.7467 5.2198
O 1.1660 4.2188 2.6491
O 3.2458 4.2188 6.2959
O 3.4371 0.0821 3.5806
O 3.4371 2.7304 3.5806
O 5.4084 2.8947 0.1196
O 5.4084 5.5429 0.1196
O 5.5997 1.4063 2.8349
O 7.6795 1.4063 6.1101
O 7.9191 2.8784 1.7588
O 7.9191 5.5592 1.7588
O 9.7719 0.0659 5.1631
O 9.7719 2.7467 5.1631
O 10.0115 4.2188 0.8119
O 12.0913 4.2188 4.0871
O 12.2826 0.0821 6.8024
O 12.2826 2.7304 6.8024
O 14.2539 2.8947 3.3414
O 14.2539 5.5429 3.3414
O 14.4452 1.4063 0.6261
O 16.5250 1.4063 4.2729
O 16.7646 2.8784 1.7022
O 16.7646 5.5592 1.7022
```

Calculated values
Formation energy from raw total energies, meV/atom: -1766
Calculated volume, A^3/atom: 17.22
Space-group type: Pnma (62)

The following is a GGA-PBEsol calculation of a geometry-optimized Cs2SeO4 structure, from the Alexandria database.

extended XYZ file:
```
28
Lattice="8.3421 0.0000 0.0000 0.0000 6.3913 0.0000 0.0000 0.0000 11.2059" Properties=species:S:1:pos:R:3 pbc="T T T"
Cs 0.0808 1.5978 2.2744
Cs 1.4440 4.7935 4.6028
Cs 2.7271 1.5978 10.2057
Cs 4.0903 4.7935 7.8774
Cs 4.2518 1.5978 3.3285
Cs 5.6150 4.7935 1.0002
Cs 6.8981 1.5978 6.6032
Cs 8.2613 4.7935 8.9315
Se 1.9516 4.7935 0.8991
Se 2.2195 1.5978 6.5021
Se 6.1226 4.7935 4.7039
Se 6.3905 1.5978 10.3069
O 0.2850 4.7935 0.9282
O 1.6484 0.2329 7.2788
O 1.6509 1.5978 4.9282
O 1.6484 2.9628 7.2788
O 2.5227 3.4285 1.6758
O 2.5201 4.7935 10.5312
O 2.5227 6.1584 1.6758
O 3.8860 1.5978 6.5312
O 4.4561 4.7935 4.6748
O 5.8194 0.2329 9.5302
O 5.8220 1.5978 0.6747
O 5.8194 2.9628 9.5302
O 6.6937 3.4285 3.9272
O 6.6911 4.7935 6.2777
O 6.6937 6.1584 3.9272
O 8.0570 1.5978 10.2778
```

Calculated values
Formation energy from raw total energies, meV/atom: -1431
Calculated volume, A^3/atom: 21.34
Space-group type: Pnma (62)

The following is a GGA-PBEsol calculation of a geometry-optimized CsSeO2 structure, from the Alexandria database.

extended XYZ file:
```
8
Lattice="-2.7719 2.7719 5.6295 2.7719 -2.7719 5.6295 2.7719 2.7719 -5.6295" Properties=species:S:1:pos:R:3 pbc="T T T"
Cs 0.0000 0.0000 0.0000
Cs 0.0000 2.7719 2.8148
Se 2.7719 0.0000 2.8148
Se 0.0000 0.0000 5.6295
O 1.3859 -0.4108 4.2221
O 2.3610 1.3859 1.4074
O 1.3859 3.1827 -1.4074
O 0.4108 1.3859 7.0369
```

Calculated values
Formation energy from raw total energies, meV/atom: -674
Calculated volume, A^3/atom: 21.63
Space-group type: I-42d (122)

The following is a GGA-PBEsol calculation of a geometry-optimized CsSeO4 structure, from the Alexandria database.

extended XYZ file:
```
12
Lattice="-2.8579 2.8579 7.2924 2.8579 -2.8579 7.2924 2.8579 2.8579 -7.2924" Properties=species:S:1:pos:R:3 pbc="T T T"
Cs 2.8579 1.4290 1.8231
Cs 0.0000 1.4290 5.4693
Se 2.8579 -1.4290 5.4693
Se 0.0000 4.2869 1.8231
O 2.8579 2.7973 -4.5183
O 1.3683 1.4290 -0.8721
O 1.4896 -1.4290 6.4203
O 2.8579 -0.0606 4.5183
O 0.0000 2.9186 2.7741
O 1.3683 4.2869 0.8721
O 1.4896 1.4290 8.1645
O 0.0000 0.0606 11.8107
```

Calculated values
Formation energy from raw total energies, meV/atom: -829
Calculated volume, A^3/atom: 19.85
Space-group type: I4_1/amd (141)

The following is a GGA-PBEsol calculation of a geometry-optimized Cs6Si2O7 structure, from the Alexandria database.

extended XYZ file:
```
30
Lattice="7.0851 0.0000 0.0000 0.0000 9.4942 0.0000 -7.0019 0.0000 9.5674" Properties=species:S:1:pos:R:3 pbc="T T T"
Cs -2.7103 1.3852 3.8702
Cs -6.2113 3.3619 8.6539
Cs -1.7273 4.9948 4.3525
Cs -5.2283 9.2466 9.1362
Cs 0.8134 2.1399 2.6108
Cs -2.6876 2.6072 7.3945
Cs 2.7708 6.8870 2.1729
Cs -0.7302 7.3543 6.9565
Cs 5.3114 0.2476 0.4312
Cs 1.8105 4.4995 5.2149
Cs 6.2944 6.1324 0.9135
Cs 2.7935 8.1090 5.6972
Si -3.7605 5.9689 8.4158
Si -0.2596 8.2725 3.6321
Si 0.3427 1.2217 5.9353
Si 3.8437 3.5254 1.1516
O -5.3882 6.2021 8.3377
O -1.8873 8.0392 3.5540
O -3.1361 5.4672 6.9803
O 0.3649 8.7742 2.1966
O 3.0735 2.1722 0.6131
O -0.4275 2.5749 5.3968
O 0.0416 0.0000 4.7837
O 3.5425 4.7471 0.0000
O 0.5107 6.9193 4.1706
O -2.9903 7.3220 8.9543
O -0.2817 0.7200 7.3708
O 3.2192 4.0271 2.5871
O 1.9704 1.4550 6.0134
O 5.4714 3.2921 1.2297
```

Calculated values
Formation energy from raw total energies, meV/atom: -2140
Calculated volume, A^3/atom: 21.45
Space-group type: P2_1/c (14)

The following is a GGA-PBEsol calculation of a geometry-optimized CsSi3O structure, from the Alexandria database.

extended XYZ file:
```
5
Lattice="5.5321 0.0000 0.0000 0.0000 5.5321 0.0000 0.0000 0.0000 5.5321" Properties=species:S:1:pos:R:3 pbc="T T T"
Cs 0.0000 0.0000 0.0000
Si 0.0000 0.0000 2.7661
Si 0.0000 2.7661 0.0000
Si 2.7661 0.0000 0.0000
O 2.7661 2.7661 2.7661
```

Calculated values
Formation energy from raw total energies, meV/atom: 2708
Calculated volume, A^3/atom: 33.86
Space-group type: Pm-3m (221)

The following is a GGA-PBEsol calculation of a geometry-optimized CsSiO2 structure, from the Alexandria database.

extended XYZ file:
```
4
Lattice="2.0411 1.1784 6.8302 -2.0411 1.1784 6.8302 0.0000 -2.3568 6.8302" Properties=species:S:1:pos:R:3 pbc="T T T"
Cs 0.0000 0.0000 0.0000
Si 0.0000 0.0000 10.2453
O 0.0000 0.0000 8.6838
O 0.0000 0.0000 11.8068
```

Calculated values
Formation energy from raw total energies, meV/atom: -1431
Calculated volume, A^3/atom: 24.64
Space-group type: R-3m (166)

The following is a GGA-PBEsol calculation of a geometry-optimized Cs2SiO3 structure, from the Alexandria database.

extended XYZ file:
```
72
Lattice="6.8017 0.0000 0.0000 0.0000 13.8640 0.0000 -5.3871 0.0000 16.1519" Properties=species:S:1:pos:R:3 pbc="T T T"
Cs -0.3491 1.4534 1.3727
Cs -3.0426 5.4786 9.4487
Cs -3.8819 8.6674 13.9662
Cs -1.1884 12.1286 5.8902
Cs -0.7553 2.6185 4.9450
Cs -3.4488 4.3135 13.0209
Cs -0.9465 1.1902 8.5830
Cs 1.7470 5.7418 0.5071
Cs -1.8592 0.1940 12.6423
Cs 0.8343 6.7380 4.5663
Cs -2.2203 2.2387 15.9774
Cs 0.4732 4.6933 7.9015
Cs 0.9414 9.1707 8.2505
Cs 3.6349 11.6253 0.1745
Cs 0.5803 7.1260 11.5856
Cs 3.2738 13.6700 3.5096
Cs -0.3324 8.1222 15.6448
Cs 2.3611 12.6738 7.5689
Cs 4.8634 9.5505 3.1310
Cs 2.1699 11.2455 11.2069
Cs 2.6030 1.7354 10.2617
Cs 5.2965 5.1966 2.1857
Cs 4.4572 8.3854 6.7033
Cs 1.7637 12.4106 14.7792
Si -2.2995 8.8221 10.2535
Si 0.3941 11.9739 2.1776
Si 1.2880 9.0295 1.7224
Si -1.4055 11.7665 9.7984
Si 1.5687 10.3125 4.5311
Si -1.1249 10.4835 12.6071
Si 2.5395 3.3805 3.5448
Si -0.1541 3.5515 11.6208
Si 2.8201 2.0975 6.3535
Si 0.1266 4.8345 14.4295
Si 1.0205 1.8901 13.9744
Si 3.7141 5.0419 5.8984
O -4.2290 1.4505 13.8770
O -1.5355 5.4815 5.8010
O 0.1781 7.8500 1.7792
O -2.5154 12.9459 9.8552
O -2.2036 10.3149 9.4640
O 0.4899 10.4811 1.3880
O -1.3260 7.7794 9.4899
O 1.3675 13.0166 1.4140
O -1.5229 3.1706 10.8447
O 1.1707 3.7614 2.7687
O 0.3722 9.6791 5.4246
O -2.3213 11.1168 13.5006
O -1.7227 9.1139 11.8138
O 0.9709 11.6820 3.7378
O 2.5095 8.7983 0.6883
O -0.1841 11.9977 8.7643
O 1.9415 9.2709 3.2596
O -0.7520 11.5250 11.3355
O 2.1666 2.3390 4.8164
O -0.5269 4.5930 12.8923
O 1.5987 1.8663 7.3877
O -1.0949 5.0657 15.4636
O 0.4437 2.1819 12.4141
O 3.1373 4.7501 4.3381
O 3.7359 2.7472 2.6513
O 1.0424 4.1848 10.7273
O 0.2439 10.1026 13.3832
O 2.9375 10.6934 5.3072
O 0.0471 0.8474 14.7379
O 2.7406 6.0846 6.6620
O 0.9247 3.3829 14.7639
O 3.6182 3.5491 6.6880
O 3.9300 0.9180 6.2967
O 1.2365 6.0140 14.3727
O 2.9501 8.3825 10.3509
O 5.6436 12.4135 2.2749
```

Calculated values
Formation energy from raw total energies, meV/atom: -2316
Calculated volume, A^3/atom: 21.15
Space-group type: P2_1/c (14)

The following is a GGA-PBEsol calculation of a geometry-optimized Cs2Si2O5 structure, from the Alexandria database.

extended XYZ file:
```
72
Lattice="10.0689 0.0000 0.0000 0.0000 8.6781 0.0000 -9.9875 0.0000 15.4674" Properties=species:S:1:pos:R:3 pbc="T T T"
Cs 0.9137 1.1707 1.3752
Cs -4.0801 3.1684 9.1089
Cs 1.6070 5.4785 1.3257
Cs -3.3867 7.5386 9.0594
Cs -1.5219 5.1858 6.4489
Cs -6.5156 7.8314 14.1826
Cs -0.8837 1.0374 6.3345
Cs -5.8775 3.3017 14.0683
Cs 5.9588 5.3764 1.3992
Cs 0.9651 7.6407 9.1329
Cs 6.5970 0.8467 1.2848
Cs 1.6032 3.4923 9.0186
Cs 3.4681 1.1395 6.4080
Cs -1.5257 3.1996 14.1418
Cs 4.1614 5.5097 6.3585
Cs -0.8323 7.5074 14.0922
Si -6.3310 6.0682 10.7567
Si -1.3372 6.9490 3.0230
Si -6.1975 0.6719 10.7479
Si -1.2038 3.6672 3.0142
Si -3.7859 5.9187 12.5015
Si 1.2079 7.0985 4.7677
Si -3.5850 0.5147 12.4246
Si 1.4087 3.8244 4.6909
Si -1.3274 4.8537 10.7765
Si 3.6664 8.1634 3.0428
Si -1.1265 1.5796 10.6997
Si 3.8672 2.7594 2.9660
Si 1.2851 5.0109 12.4533
Si 6.2789 8.0062 4.7196
Si 1.4186 1.7291 12.4444
Si 6.4123 2.6099 4.7107
O -5.9705 5.5016 9.3201
O -0.9767 7.5156 1.5863
O -8.4947 5.6233 13.8856
O -3.5010 7.3938 6.1519
O -7.1336 1.2607 11.9773
O -2.1398 3.0784 4.2436
O -1.3842 5.3011 3.0899
O -6.3780 7.7160 10.8236
O -5.3333 5.5990 11.9947
O -0.3396 7.4182 4.2610
O -4.6408 0.9933 11.2359
O 0.3529 3.3458 3.5022
O 1.4125 5.4707 4.6398
O -3.5812 7.5464 12.3735
O -2.8260 5.2787 11.3196
O 2.1678 7.7384 3.5859
O -1.3774 1.0169 9.2395
O 3.6164 3.3221 1.5058
O -1.0380 5.4389 9.3313
O 3.9558 7.5782 1.5976
O -3.8744 1.0999 13.8698
O 1.1193 3.2392 6.1361
O -3.5350 5.3559 13.9616
O 1.4587 7.6612 6.2279
O -2.0864 0.9397 11.8815
O 2.9073 3.3994 4.1478
O 3.6626 1.1317 3.0939
O -1.3312 3.2074 10.8277
O -0.2716 5.3323 11.9653
O 4.7222 7.6848 4.2315
O 0.4209 1.2599 11.2064
O 5.4147 3.0791 3.4727
O 6.4594 0.9621 4.6438
O 1.4656 3.3770 12.3776
O 2.2212 5.5997 11.2239
O 7.2150 7.4174 3.4901
O 3.5823 1.2843 9.3155
O 8.5761 3.0548 1.5818
O 1.0581 1.1625 13.8811
O 6.0518 3.1765 6.1474
```

Calculated values
Formation energy from raw total energies, meV/atom: -2542
Calculated volume, A^3/atom: 18.77
Space-group type: P2_1/c (14)

The following is a GGA-PBEsol calculation of a geometry-optimized Cs4SiO4 structure, from the Alexandria database.

extended XYZ file:
```
36
Lattice="6.9488 0.0000 0.0000 0.0000 18.6196 0.0000 -2.7367 0.0000 6.4028" Properties=species:S:1:pos:R:3 pbc="T T T"
Cs 0.4575 3.5418 1.2958
Cs -0.9108 5.7681 4.4972
Cs -0.6999 9.5054 5.0501
Cs 0.6685 18.4240 1.8487
Cs 1.4599 10.6422 2.0187
Cs 0.0915 17.2872 5.2201
Cs 0.1539 13.1391 5.2601
Cs 1.5222 14.7903 2.0587
Cs 2.6898 3.8293 4.3441
Cs 4.0582 5.4805 1.1427
Cs 4.1206 1.3324 1.1827
Cs 2.7522 7.9774 4.3841
Cs 3.5436 0.1956 4.5541
Cs 4.9120 9.1142 1.3527
Cs 5.1229 12.8516 1.9056
Cs 3.7546 15.0779 5.1070
Si -0.3901 2.2822 4.8882
Si 0.9782 7.0276 1.6868
Si 3.2339 11.5921 4.7160
Si 4.6022 16.3374 1.5146
O -1.4771 2.8353 3.7610
O -0.1087 6.4745 0.5596
O -1.1142 1.2192 5.9470
O 0.2541 8.0907 2.7456
O 0.9162 1.5309 4.1701
O 2.2846 7.7789 0.9687
O 0.2190 3.5453 5.8085
O 1.5874 5.7645 2.6071
O 2.6247 12.8551 3.7957
O 3.9931 15.0743 0.5943
O 1.9275 10.8407 5.4341
O 3.2959 17.0887 2.2327
O 3.9580 10.5290 3.6572
O 5.3263 17.4005 0.4558
O 4.3208 12.1452 5.8432
O 5.6892 15.7843 2.6418
```

Calculated values
Formation energy from raw total energies, meV/atom: -1983
Calculated volume, A^3/atom: 23.01
Space-group type: P2_1/c (14)

The following is a GGA-PBEsol calculation of a geometry-optimized Cs2Si3SnO9 structure, from the Alexandria database.

extended XYZ file:
```
60
Lattice="8.0040 0.0000 0.0000 0.0000 10.3877 0.0000 0.0000 0.0000 11.8183" Properties=species:S:1:pos:R:3 pbc="T T T"
Cs 0.5601 1.0970 0.2477
Cs 1.8407 2.2275 4.7007
Cs 2.1612 8.1602 10.6098
Cs 3.4419 9.2907 6.1568
Cs 4.5621 4.0968 11.5706
Cs 5.8427 2.9664 7.1176
Cs 6.1632 7.4213 1.2084
Cs 7.4438 6.2909 5.6615
Si 0.4871 9.0585 3.3911
Si 0.6201 1.1644 8.3807
Si 0.6678 4.9122 11.7130
Si 3.3342 5.4755 5.8039
Si 3.3819 9.2233 2.4716
Si 3.5149 1.3291 9.3003
Si 4.4891 6.5230 8.4271
Si 4.6221 4.0294 3.4376
Si 4.6698 0.2816 0.1052
Si 7.3362 10.1061 6.0144
Si 7.3838 6.3583 9.3467
Si 7.5169 3.8647 2.5180
Sn 1.9703 4.2701 8.6839
Sn 2.0317 6.1176 2.7747
Sn 5.9723 0.9238 3.1344
Sn 6.0337 9.4639 9.0436
O 0.2305 9.1375 5.0224
O 0.5061 0.5448 6.8494
O 0.5095 7.4993 2.9684
O 0.5877 5.7737 8.4443
O 0.6268 2.7790 8.2315
O 0.6510 4.6746 3.3294
O 1.5413 4.0073 10.6978
O 1.5504 5.9472 0.7745
O 1.9581 9.7666 3.1157
O 2.0439 0.6211 9.0248
O 2.4516 4.4405 6.6837
O 2.4606 6.3804 4.7886
O 3.3510 5.7131 9.2385
O 3.3752 7.6087 2.3224
O 3.4143 4.6139 2.5351
O 3.4925 2.8884 8.8776
O 3.4959 9.8429 0.9403
O 3.7715 1.2502 10.9315
O 4.2325 6.4440 6.7959
O 4.5081 4.6490 4.9688
O 4.5115 8.0822 8.8498
O 4.5897 9.8078 3.3740
O 4.6287 2.4149 3.5868
O 4.6530 0.5193 8.4889
O 5.5433 1.1865 1.1205
O 5.5523 9.6344 11.0438
O 5.9601 5.8150 8.7026
O 6.0459 4.5727 2.7934
O 6.4536 0.7533 5.1346
O 6.4626 9.2011 7.0296
O 7.3529 9.8684 2.5798
O 7.3772 7.9728 9.4959
O 7.4163 0.5799 9.2831
O 7.4944 2.3055 2.9407
O 7.4979 5.7386 10.8780
O 7.7735 3.9437 0.8867
```

Calculated values
Formation energy from raw total energies, meV/atom: -2489
Calculated volume, A^3/atom: 16.38
Space-group type: P2_12_12_1 (19)

> The highest formation energy from raw total energies belongs to which entry?

CsSi3O

> The lowest calculated volume belongs to which entry?

Cs2Si3SnO9

> Look up the formation energy from raw total energies of the eighth one.

-2316 meV/atom

> The highest formation energy from raw total energies belongs to which entry?

CsSi3O